Tl2Mo9S11: relaxed, GGA-PBEsol.

Lattice parameters (Å, degrees): 9.2064 9.2064 35.1898 90.00 90.00 120.00
Space group R-3c (No. 167, hexagonal axes)
Inequivalent atoms, fractional coordinates:
Tl 0.0000 0.0000 0.0517 x12
Mo 0.0000 0.1691 0.2500 x18
Mo 0.0111 0.1719 0.8138 x36
S 0.0000 0.0000 0.1344 x12
S 0.0000 0.3074 0.7500 x18
S 0.0164 0.3761 0.8585 x36

Output
For the total DFT energy (no corrections), the calculation gives -7.945 eV per atom. Its energy above the most stable polymorph in this dataset is 3 meV per atom. The value obtained for the energy relative to the elements, uncorrected is -700 meV per atom. For the size of the total moment, the calculation gives 0.0 μB per cell. The density of states at the Fermi level is 35.7 states/eV/cell.

=====

Fe2IrOs: relaxed, GGA-PBEsol.

Lattice parameters (Å, degrees): 2.749 4.282 4.453 90.00 90.00 90.00
Space group Pmmm (No. 47)
Inequivalent atoms, fractional coordinates:
Fe 0.000 0.000 0.000 x1
Fe 0.500 0.000 0.500 x1
Ir 0.000 0.500 0.500 x1
Os 0.500 0.500 0.000 x1

Output
For the total DFT energy (no corrections), the calculation gives -9.693 eV per atom. The formation enthalpy at 0 K is 299 meV per atom. For the size of the total moment, the calculation gives 5.9 μB per cell. The density of states at the Fermi level is 5.7 states/eV/cell.

=====

RbNiPb3: relaxed, GGA-PBEsol.

Lattice parameters (Å, degrees): 5.242 5.242 5.242 90.00 90.00 90.00
Space group Pm-3m (No. 221)
Inequivalent atoms, fractional coordinates:
Rb 0.000 0.000 0.000 x1
Ni 0.500 0.500 0.500 x1
Pb 0.000 0.500 0.500 x3

Output
For the total DFT energy (no corrections), the calculation gives -3.715 eV per atom. The formation enthalpy at 0 K is 121 meV per atom. For the size of the total moment, the calculation gives 0.0 μB per cell. The density of states at the Fermi level is 4.3 states/eV/cell.

=====

AlFe2Ir: relaxed, GGA-PBEsol.

Lattice parameters (Å, degrees): 2.901 4.421 7.980 90.00 90.00 90.00
Space group Cmm2 (No. 35)
Inequivalent atoms, fractional coordinates:
Al 0.000 0.000 0.000 x2
Fe 0.000 0.000 0.478 x2
Fe 0.000 0.500 0.245 x2
Ir 0.000 0.500 0.744 x2

Output
For the total DFT energy (no corrections), the calculation gives -8.008 eV per atom. The formation enthalpy at 0 K is -47 meV per atom. For the size of the total moment, the calculation gives 9.9 μB per cell. The density of states at the Fermi level is 5.2 states/eV/cell.

=====

Hf2Ga2W: relaxed, GGA-PBEsol.

Lattice parameters (Å, degrees): 6.860 6.860 3.628 90.00 90.00 90.00
Space group P4/mbm (No. 127)
Inequivalent atoms, fractional coordinates:
Hf 0.179 0.321 0.000 x4
Ga 0.126 0.626 0.500 x4
W 0.000 0.000 0.500 x2

Output
For the total DFT energy (no corrections), the calculation gives -8.688 eV per atom. The formation enthalpy at 0 K is -389 meV per atom. For the size of the total moment, the calculation gives 0.0 μB per cell. The density of states at the Fermi level is 5.5 states/eV/cell.

=====

Mn4Co: relaxed, GGA-PBEsol.

Lattice parameters (Å, degrees): 5.436 5.436 3.453 90.00 90.00 90.00
Space group I4/m (No. 87)
Inequivalent atoms, fractional coordinates:
Mn 0.103 0.297 0.000 x8
Co 0.000 0.000 0.500 x2

Output
For the total DFT energy (no corrections), the calculation gives -9.292 eV per atom. The formation enthalpy at 0 K is 65 meV per atom. For the size of the total moment, the calculation gives 0.0 μB per cell. The density of states at the Fermi level is 15.7 states/eV/cell.